(1)
16
Lattice="-2.069 -5.424 -2.962 5.710 -3.064 1.623 -3.598 2.719 4.705" Properties=species:S:1:pos:R:3 comment="Na4TiIn3O8 (PBE, relaxed)" e_form_raw_ev_per_fu=-28.858 total_energy_ev_per_atom=-5.62 pbc="T T T"
Na -1.034 -2.712 -1.481
Na -2.834 -1.353 0.872
Na 0.000 0.000 0.000
Na -1.799 1.359 2.353
Ti 2.855 -1.532 0.811
In 1.821 -4.244 -0.669
In 0.022 -2.885 1.683
In 1.056 -0.173 3.164
O 0.036 -0.707 5.109
O 1.962 -2.162 2.590
O -0.793 -0.875 2.156
O -1.072 -3.611 3.523
O 1.115 -2.159 -0.157
O 0.836 -4.895 1.210
O -1.919 -3.607 0.776
O 0.008 -5.063 -1.742

(2)
12
Lattice="5.761 0.001 -0.001 -2.879 4.990 -0.001 -0.963 -1.667 5.560" Properties=species:S:1:pos:R:3 comment="Na3TlIn2O6 (PBE, relaxed)" e_form_raw_ev_per_fu=-17.380 total_energy_ev_per_atom=-4.91 pbc="T T T"
Na -1.926 3.329 2.778
Na 3.846 -0.005 2.778
Na 0.960 1.662 2.778
Tl 0.000 0.000 0.000
In 0.002 3.327 -0.001
In 2.881 1.664 -0.001
O 2.912 1.603 4.351
O 1.886 3.266 1.212
O -0.993 1.721 1.205
O -0.067 3.323 4.351
O 0.033 0.058 4.345
O 1.987 0.001 1.205